(1)
DFT (GGA-PBE) results for crystalline Rb8AuClO2 at its relaxed geometry.

Values from the calculation:
SG	P-3m1
mass density	2.4	Mg/m³
raw formation energy	-9.43	eV per formula unit
total magnetization	0.000	μB per formula unit

The structure in extended XYZ format:
```
12
Lattice="8.7734 0.0000 0.0000 -4.3867 7.5980 0.0000 0.0000 0.0000 9.7170" Properties=species:S:1:pos:R:3 pbc="T T T"
Rb 0.0000 2.5985 2.6760
Rb -2.1364 6.2988 2.6760
Rb 0.0000 5.0653 9.0871
Rb 2.2504 1.2992 7.0410
Rb 2.1364 6.2988 2.6760
Rb 4.3867 2.5327 0.6299
Rb 6.5231 1.2992 7.0410
Rb 4.3867 4.9995 7.0410
Au 0.0000 0.0000 0.0000
Cl 0.0000 0.0000 4.8585
O 0.0000 5.0653 1.8838
O 4.3867 2.5327 7.8332
```


(2)
DFT (GGA-PBE) results for crystalline CdMo2Au at its relaxed geometry.

Values from the calculation:
energy relative to the elements	0.31	eV/atom
SG	Imm2
mass density	11.6	Mg/m³
total magnetization	0.000	μB per formula unit

The structure in extended XYZ format:
```
4
Lattice="-1.6375 2.4018 4.5447 1.6375 -2.4018 4.5447 1.6375 2.4018 -4.5447" Properties=species:S:1:pos:R:3 pbc="T T T"
Cd 0.0000 0.0000 0.0000
Mo 1.6375 0.0000 2.4854
Mo 0.0000 0.0000 4.3172
Au 0.0000 2.4018 2.1766
```


Which formula does entry 2 have? CdMo2Au